#one
VASP calculation (GGA-PBE) on Cr4C3 after structural relaxation.

Values from the calculation:
M_tot, μB per atom: 0.10

The structure in CIF format:
```
data_Cr4C3
_chemical_formula_sum 'Cr4 C3'
_space_group_name_H-M_alt 'P m -3 m'
_space_group_IT_number 221
_space_group_name_Hall '-P 4 2 3'
_cell_length_a 4.007
_cell_length_b 4.007
_cell_length_c 4.007
_cell_angle_alpha 90.00
_cell_angle_beta 90.00
_cell_angle_gamma 90.00
loop_
_atom_site_label
_atom_site_type_symbol
_atom_site_fract_x
_atom_site_fract_y
_atom_site_fract_z
Cr1 Cr 0.000 0.000 0.000
Cr2 Cr 0.000 0.500 0.500
C1 C 0.000 0.000 0.500
```

#two
VASP calculation (GGA-PBE) on Cr4C3 after structural relaxation.

Values from the calculation:
M_tot, μB per atom: 0.00

The structure in CIF format:
```
data_Cr4C3
_chemical_formula_sum 'Cr8 C6'
_space_group_name_H-M_alt 'I 4/m m m'
_space_group_IT_number 139
_space_group_name_Hall '-I 4 2'
_cell_length_a 2.763
_cell_length_b 2.763
_cell_length_c 16.613
_cell_angle_alpha 90.00
_cell_angle_beta 90.00
_cell_angle_gamma 90.00
loop_
_atom_site_label
_atom_site_type_symbol
_atom_site_fract_x
_atom_site_fract_y
_atom_site_fract_z
Cr1 Cr 0.000 0.000 0.067
Cr2 Cr 0.000 0.000 0.307
C1 C 0.000 0.000 0.184
C2 C 0.000 0.000 0.500
```

Of them, the most stable is #one and the least stable is #two.

#one
VASP calculation (GGA-PBE) on Cr4C3 after structural relaxation.

Values from the calculation:
M_tot, μB per atom: 0.00

The structure in CIF format:
```
data_Cr4C3
_chemical_formula_sum 'Cr4 C3'
_space_group_name_H-M_alt 'P 6/m m m'
_space_group_IT_number 191
_space_group_name_Hall '-P 6 2'
_cell_length_a 4.1574
_cell_length_b 4.1574
_cell_length_c 4.0966
_cell_angle_alpha 90.00
_cell_angle_beta 90.00
_cell_angle_gamma 120.00
loop_
_atom_site_label
_atom_site_type_symbol
_atom_site_fract_x
_atom_site_fract_y
_atom_site_fract_z
Cr1 Cr 0.0000 0.0000 0.2364
Cr2 Cr 0.3333 0.6667 0.5000
C1 C 0.0000 0.5000 0.0000
```

#two
VASP calculation (GGA-PBE) on Cr4C3 after structural relaxation.

Values from the calculation:
M_tot, μB per atom: 0.00

The structure in CIF format:
```
data_Cr4C3
_chemical_formula_sum 'Cr4 C3'
_space_group_name_H-M_alt 'P -4 3 m'
_space_group_IT_number 215
_space_group_name_Hall 'P -4 2 3'
_cell_length_a 4.197
_cell_length_b 4.197
_cell_length_c 4.197
_cell_angle_alpha 90.00
_cell_angle_beta 90.00
_cell_angle_gamma 90.00
loop_
_atom_site_label
_atom_site_type_symbol
_atom_site_fract_x
_atom_site_fract_y
_atom_site_fract_z
Cr1 Cr 0.223 0.223 0.777
C1 C 0.000 0.500 0.500
```

Of them, the most stable is #two and the least stable is #one.

#one
VASP calculation (GGA-PBE) on CrC3 after structural relaxation.

Values from the calculation:
M_tot, μB per atom: 0.03

The structure in CIF format:
```
data_CrC3
_chemical_formula_sum 'Cr3 C9'
_space_group_name_H-M_alt 'R -3 m'
_space_group_IT_number 166
_space_group_name_Hall '-R 3 2"'
_cell_length_a 6.1577
_cell_length_b 6.1577
_cell_length_c 2.8738
_cell_angle_alpha 90.00
_cell_angle_beta 90.00
_cell_angle_gamma 120.00
loop_
_atom_site_label
_atom_site_type_symbol
_atom_site_fract_x
_atom_site_fract_y
_atom_site_fract_z
Cr1 Cr 0.0000 0.0000 0.0000
C1 C 0.0000 0.5000 0.0000
```

#two
VASP calculation (GGA-PBE) on CrC3 after structural relaxation.

Values from the calculation:
M_tot, μB per atom: 0.17

The structure in CIF format:
```
data_CrC3
_chemical_formula_sum 'Cr4 C12'
_space_group_name_H-M_alt 'P 63/m m c'
_space_group_IT_number 194
_space_group_name_Hall '-P 6c 2c'
_cell_length_a 3.8951
_cell_length_b 3.8951
_cell_length_c 12.3994
_cell_angle_alpha 90.00
_cell_angle_beta 90.00
_cell_angle_gamma 120.00
loop_
_atom_site_label
_atom_site_type_symbol
_atom_site_fract_x
_atom_site_fract_y
_atom_site_fract_z
Cr1 Cr 0.0000 0.0000 0.0000
Cr2 Cr 0.3333 0.6667 0.2500
C1 C 0.0000 0.5000 0.0000
C2 C 0.2106 0.4213 0.7500
```

Of them, the most stable is #two and the least stable is #one.

#one
VASP calculation (GGA-PBE) on CrC3 after structural relaxation.

Values from the calculation:
M_tot, μB per atom: 0.02

The structure in CIF format:
```
data_CrC3
_chemical_formula_sum 'Cr4 C12'
_space_group_name_H-M_alt 'C m c m'
_space_group_IT_number 63
_space_group_name_Hall '-C 2c 2'
_cell_length_a 5.334
_cell_length_b 13.649
_cell_length_c 2.830
_cell_angle_alpha 90.00
_cell_angle_beta 90.00
_cell_angle_gamma 90.00
loop_
_atom_site_label
_atom_site_type_symbol
_atom_site_fract_x
_atom_site_fract_y
_atom_site_fract_z
Cr1 Cr 0.000 0.243 0.250
C1 C 0.000 0.126 0.750
C2 C 0.231 0.163 0.750
```

#two
VASP calculation (GGA-PBE) on CrC3 after structural relaxation.

Values from the calculation:
M_tot, μB per atom: 0.00

The structure in CIF format:
```
data_CrC3
_chemical_formula_sum 'Cr4 C12'
_space_group_name_H-M_alt 'I 4/m m m'
_space_group_IT_number 139
_space_group_name_Hall '-I 4 2'
_cell_length_a 2.538
_cell_length_b 2.538
_cell_length_c 23.368
_cell_angle_alpha 90.00
_cell_angle_beta 90.00
_cell_angle_gamma 90.00
loop_
_atom_site_label
_atom_site_type_symbol
_atom_site_fract_x
_atom_site_fract_y
_atom_site_fract_z
Cr1 Cr 0.000 0.000 0.180
C1 C 0.000 0.000 0.354
C2 C 0.000 0.500 0.000
C3 C 0.000 0.500 0.250
```

#three
VASP calculation (GGA-PBE) on CrC3 after structural relaxation.

Values from the calculation:
M_tot, μB per atom: 0.49

The structure in CIF format:
```
data_CrC3
_chemical_formula_sum 'Cr2 C6'
_space_group_name_H-M_alt 'P m m n'
_space_group_IT_number 59
_cell_length_a 4.047
_cell_length_b 4.271
_cell_length_c 4.202
_cell_angle_alpha 90.00
_cell_angle_beta 90.00
_cell_angle_gamma 90.00
loop_
_space_group_symop_operation_xyz
'x,y,z'
'-x,-y,-z'
'-x+1/2,-y+1/2,z'
'x+1/2,y+1/2,-z'
'x+1/2,-y,-z'
'-x+1/2,y,z'
'-x,y+1/2,-z'
'x,-y+1/2,z'
loop_
_atom_site_label
_atom_site_type_symbol
_atom_site_fract_x
_atom_site_fract_y
_atom_site_fract_z
Cr1 Cr 0.250 0.250 0.225
C1 C 0.076 0.750 0.435
C2 C 0.250 0.750 0.121
```

#four
VASP calculation (GGA-PBE) on CrC3 after structural relaxation.

Values from the calculation:
M_tot, μB per atom: 0.00

The structure in CIF format:
```
data_CrC3
_chemical_formula_sum 'Cr2 C6'
_space_group_name_H-M_alt 'P m -3 n'
_space_group_IT_number 223
_space_group_name_Hall '-P 4n 2 3'
_cell_length_a 3.849
_cell_length_b 3.849
_cell_length_c 3.849
_cell_angle_alpha 90.00
_cell_angle_beta 90.00
_cell_angle_gamma 90.00
loop_
_atom_site_label
_atom_site_type_symbol
_atom_site_fract_x
_atom_site_fract_y
_atom_site_fract_z
Cr1 Cr 0.000 0.000 0.000
C1 C 0.000 0.250 0.500
```

Of them, the most stable is #one and the least stable is #four.